Computed, not measured: an optimized crystal structure of Ni2SnPt at the GGA-PBE level of DFT.

a = 3.8116 Å, b = 3.8116 Å, c = 9.3226 Å
α = 78.20°, β = 78.20°, γ = 90.00°
Atoms (fractional coordinates):
Pt 0.0000 0.0000 0.0000
Pt 0.7500 0.2500 0.5000
Ni 0.3750 0.3531 0.7500
Ni 0.8750 0.8969 0.7500
Ni 0.1031 0.6250 0.2500
Ni 0.6469 0.1250 0.2500
Sn 0.5000 0.5000 0.0000
Sn 0.2500 0.7500 0.5000

Properties
calculated volume: 64.8 Å³/f.u.
E_form: 0.085 eV per atom
crystal system: tetragonal
space group: No. 122
magnetic moment: 0.0 μB per cell